Entry 1:
The following is a GGA-PBEsol calculation of LuP3O9 after structural relaxation, from Alexandria.

Unit cell a=7.755 b=7.755 c=9.961 alpha=123.12 beta=123.12 gamma=51.08
Fractional coordinates of all 26 atoms:
Lu (0.235, 0.765, 0.500)
Lu (0.765, 0.235, 0.000)
P (0.183, 0.331, 0.771)
P (0.331, 0.183, 0.271)
P (0.560, 0.737, 0.333)
P (0.737, 0.560, 0.833)
P (0.747, 0.955, 0.166)
P (0.955, 0.747, 0.666)
O (0.000, 0.489, 0.872)
O (0.082, 0.824, 0.657)
O (0.134, 0.139, 0.126)
O (0.138, 0.502, 0.699)
O (0.139, 0.134, 0.626)
O (0.275, 0.419, 0.399)
O (0.382, 0.737, 0.352)
O (0.419, 0.275, 0.899)
O (0.489, 0.000, 0.372)
O (0.502, 0.138, 0.199)
O (0.585, 0.620, 0.672)
O (0.620, 0.585, 0.172)
O (0.666, 0.794, 0.983)
O (0.737, 0.382, 0.852)
O (0.794, 0.666, 0.483)
O (0.824, 0.082, 0.157)
O (0.824, 0.912, 0.792)
O (0.912, 0.824, 0.292)

Its total energy is -7.907 eV/atom. The calculation puts the density of states at the Fermi level at 0.00 states/eV/atom.

Entry 2:
The following is a GGA-PBEsol calculation of CuNi6Rh after structural relaxation, from Alexandria.

Unit cell a=6.103 b=6.103 c=9.960 alpha=90.00 beta=90.00 gamma=109.53
Fractional coordinates of all 32 atoms:
Cu (0.000, 0.000, 0.248)
Cu (0.000, 0.000, 0.752)
Cu (0.251, 0.749, 0.000)
Cu (0.749, 0.251, 0.000)
Ni (0.000, 0.000, 0.000)
Ni (0.000, 0.000, 0.500)
Ni (0.122, 0.373, 0.123)
Ni (0.122, 0.373, 0.877)
Ni (0.123, 0.372, 0.373)
Ni (0.123, 0.372, 0.627)
Ni (0.249, 0.751, 0.248)
Ni (0.249, 0.751, 0.752)
Ni (0.372, 0.123, 0.373)
Ni (0.372, 0.123, 0.627)
Ni (0.373, 0.122, 0.123)
Ni (0.373, 0.122, 0.877)
Ni (0.500, 0.500, 0.000)
Ni (0.500, 0.500, 0.500)
Ni (0.627, 0.878, 0.123)
Ni (0.627, 0.878, 0.877)
Ni (0.628, 0.877, 0.373)
Ni (0.628, 0.877, 0.627)
Ni (0.751, 0.249, 0.248)
Ni (0.751, 0.249, 0.752)
Ni (0.877, 0.628, 0.373)
Ni (0.877, 0.628, 0.627)
Ni (0.878, 0.627, 0.123)
Ni (0.878, 0.627, 0.877)
Rh (0.251, 0.749, 0.500)
Rh (0.500, 0.500, 0.247)
Rh (0.500, 0.500, 0.753)
Rh (0.749, 0.251, 0.500)

Its total energy is -6.146 eV/atom. The calculation puts the density of states at the Fermi level at 1.40 states/eV/atom.

Entry 3:
The following is a GGA-PBEsol calculation of NdInNi4 after structural relaxation, from Alexandria.

Unit cell a=4.970 b=4.970 c=4.970 alpha=60.00 beta=60.00 gamma=60.00
Fractional coordinates of all 6 atoms:
Nd (0.000, 0.000, 0.000)
In (0.750, 0.750, 0.750)
Ni (0.376, 0.376, 0.376)
Ni (0.376, 0.376, 0.871)
Ni (0.376, 0.871, 0.376)
Ni (0.871, 0.376, 0.376)

Its total energy is -5.800 eV/atom. The calculation puts the density of states at the Fermi level at 0.62 states/eV/atom.

Entry 4:
The following is a GGA-PBEsol calculation of MoC after structural relaxation, from Alexandria.

Unit cell a=2.886 b=2.886 c=5.678 alpha=90.00 beta=90.00 gamma=120.00
Fractional coordinates of all 4 atoms:
Mo (0.000, 0.000, 0.000)
Mo (0.000, 0.000, 0.500)
C (0.333, 0.667, 0.250)
C (0.667, 0.333, 0.750)

The value obtained for the energy relative to the lowest polymorph listed for this composition is 0.32 eV/f.u. Its total energy is -10.766 eV/atom. The calculation puts the density of states at the Fermi level at 0.40 states/eV/atom.

Entry 5:
The following is a GGA-PBEsol calculation of KCaTe2 after structural relaxation, from Alexandria.

Unit cell a=5.357 b=5.371 c=8.666 alpha=90.00 beta=90.00 gamma=90.00
Fractional coordinates of all 8 atoms:
K (0.000, 0.000, 0.000)
K (0.500, 0.500, 0.000)
Ca (0.000, 0.000, 0.500)
Ca (0.500, 0.500, 0.500)
Te (0.000, 0.500, 0.277)
Te (0.000, 0.500, 0.723)
Te (0.500, 0.000, 0.277)
Te (0.500, 0.000, 0.723)

Its total energy is -3.641 eV/atom. The calculation puts the density of states at the Fermi level at 0.74 states/eV/atom.

Entry 6:
The following is a GGA-PBEsol calculation of TiZnSbP3O12 after structural relaxation, from Alexandria.

Unit cell a=8.274 b=8.274 c=8.274 alpha=64.53 beta=64.53 gamma=64.53
Fractional coordinates of all 36 atoms:
Ti (0.000, 0.000, 0.000)
Ti (0.500, 0.500, 0.500)
Zn (0.345, 0.345, 0.345)
Zn (0.845, 0.845, 0.845)
Sb (0.185, 0.185, 0.185)
Sb (0.685, 0.685, 0.685)
P (0.104, 0.418, 0.782)
P (0.282, 0.918, 0.604)
P (0.418, 0.782, 0.104)
P (0.604, 0.282, 0.918)
P (0.782, 0.104, 0.418)
P (0.918, 0.604, 0.282)
O (0.050, 0.233, 0.853)
O (0.089, 0.920, 0.759)
O (0.098, 0.434, 0.263)
O (0.177, 0.422, 0.918)
O (0.233, 0.853, 0.050)
O (0.259, 0.420, 0.589)
O (0.263, 0.098, 0.434)
O (0.353, 0.733, 0.550)
O (0.418, 0.922, 0.677)
O (0.420, 0.589, 0.259)
O (0.422, 0.918, 0.177)
O (0.434, 0.263, 0.098)
O (0.550, 0.353, 0.733)
O (0.589, 0.259, 0.420)
O (0.598, 0.763, 0.934)
O (0.677, 0.418, 0.922)
O (0.733, 0.550, 0.353)
O (0.759, 0.089, 0.920)
O (0.763, 0.934, 0.598)
O (0.853, 0.050, 0.233)
O (0.918, 0.177, 0.422)
O (0.920, 0.759, 0.089)
O (0.922, 0.677, 0.418)
O (0.934, 0.598, 0.763)

Its total energy is -7.388 eV/atom.

Entry 7:
The following is a GGA-PBEsol calculation of ZrNiSCl2 after structural relaxation, from Alexandria.

Unit cell a=4.361 b=4.361 c=4.607 alpha=90.00 beta=90.00 gamma=90.00
Fractional coordinates of all 5 atoms:
Zr (0.000, 0.000, 0.000)
Ni (0.500, 0.500, 0.500)
S (0.500, 0.500, 0.000)
Cl (0.000, 0.500, 0.500)
Cl (0.500, 0.000, 0.500)

Its total energy is -5.018 eV/atom. The calculation puts the density of states at the Fermi level at 0.98 states/eV/atom.

Entry 8:
The following is a GGA-PBEsol calculation of CeS after structural relaxation, from Alexandria.

Unit cell a=5.594 b=5.594 c=5.594 alpha=90.00 beta=90.00 gamma=90.00
Fractional coordinates of all 8 atoms:
Ce (0.000, 0.000, 0.000)
Ce (0.000, 0.500, 0.500)
Ce (0.500, 0.000, 0.500)
Ce (0.500, 0.500, 0.000)
S (0.000, 0.000, 0.500)
S (0.000, 0.500, 0.000)
S (0.500, 0.000, 0.000)
S (0.500, 0.500, 0.500)

Its total energy is -7.569 eV/atom. The calculation puts the density of states at the Fermi level at 1.67 states/eV/atom.